No. 1
The following is a DFT calculation (PBE) of a relaxed structure of LaMn2H8.

**Relative energy among the computed polymorphs**: 146 meV/atom
**Symmetry**: I222, No. 23

a = 5.7289 Å, b = 5.7289 Å, c = 5.7289 Å
α = 138.90°, β = 133.86°, γ = 63.48°
Sites, in units of the cell vectors:
La (0.0000, 0.0000, 0.0000)
Mn (0.3434, 0.3434, 0.0000)
Mn (0.6566, 0.6566, 0.0000)
H (0.0267, 0.9660, 0.5551)
H (0.2693, 0.5000, 0.7693)
H (0.3945, 0.8944, 0.5000)
H (0.4109, 0.4715, 0.4449)
H (0.5891, 0.0340, 0.0606)
H (0.6056, 0.1056, 0.5000)
H (0.7307, 0.5000, 0.2307)
H (0.9733, 0.5285, 0.9394)

No. 2
The following is a DFT calculation (PBE) of a relaxed structure of LaMn2H8.

**Relative energy among the computed polymorphs**: 0 meV/atom
**Symmetry**: Cmmm, No. 65

a = 4.8319 Å, b = 4.8319 Å, c = 3.8106 Å
α = 90.00°, β = 90.00°, γ = 117.28°
Sites, in units of the cell vectors:
La (0.0000, 0.0000, 0.0000)
Mn (0.3258, 0.6742, 0.5000)
Mn (0.6742, 0.3258, 0.5000)
H (0.0257, 0.3192, 0.5000)
H (0.3061, 0.6939, 0.0000)
H (0.3192, 0.0257, 0.5000)
H (0.5000, 0.5000, 0.2647)
H (0.5000, 0.5000, 0.7353)
H (0.6808, 0.9743, 0.5000)
H (0.6939, 0.3061, 0.0000)
H (0.9743, 0.6808, 0.5000)

No. 3
The following is a DFT calculation (PBE) of a relaxed structure of La2MnH2.

**Relative energy among the computed polymorphs**: 164 meV/atom
**Symmetry**: P4/mbm, No. 127

a = 7.2481 Å, b = 7.2481 Å, c = 3.3049 Å
α = 90.00°, β = 90.00°, γ = 90.00°
Sites, in units of the cell vectors:
La (0.1850, 0.3150, 0.0000)
La (0.3150, 0.8150, 0.0000)
La (0.6850, 0.1850, 0.0000)
La (0.8150, 0.6850, 0.0000)
Mn (0.0000, 0.0000, 0.5000)
Mn (0.5000, 0.5000, 0.5000)
H (0.1241, 0.6241, 0.5000)
H (0.3759, 0.1241, 0.5000)
H (0.6241, 0.8759, 0.5000)
H (0.8759, 0.3759, 0.5000)

No. 4
The following is a DFT calculation (PBE) of a relaxed structure of LaMn2H.

**Relative energy among the computed polymorphs**: 1207 meV/atom
**Symmetry**: Fm-3m, No. 225

a = 4.1620 Å, b = 4.1620 Å, c = 4.1620 Å
α = 60.00°, β = 60.00°, γ = 60.00°
Sites, in units of the cell vectors:
La (0.0000, 0.0000, 0.0000)
Mn (0.2500, 0.2500, 0.2500)
Mn (0.7500, 0.7500, 0.7500)
H (0.5000, 0.5000, 0.5000)

No. 5
The following is a DFT calculation (PBE) of a relaxed structure of LaMn2H2.

**Relative energy among the computed polymorphs**: 0 meV/atom
**Symmetry**: I4/mmm, No. 139

a = 5.8681 Å, b = 5.8681 Å, c = 5.8681 Å
α = 146.67°, β = 146.67°, γ = 47.85°
Sites, in units of the cell vectors:
La (0.0000, 0.0000, 0.0000)
Mn (0.2500, 0.7500, 0.5000)
Mn (0.7500, 0.2500, 0.5000)
H (0.3334, 0.3334, 0.0000)
H (0.6666, 0.6666, 0.0000)

No. 6
The following is a DFT calculation (PBE) of a relaxed structure of LaMnH2.

**Relative energy among the computed polymorphs**: 0 meV/atom
**Symmetry**: I-42d, No. 122

a = 6.1160 Å, b = 6.1160 Å, c = 6.1160 Å
α = 136.65°, β = 136.65°, γ = 62.97°
Sites, in units of the cell vectors:
La (0.0000, 0.0000, 0.0000)
La (0.7500, 0.2500, 0.5000)
Mn (0.2500, 0.7500, 0.5000)
Mn (0.5000, 0.5000, 0.0000)
H (0.2809, 0.6250, 0.1559)
H (0.3750, 0.5309, 0.6559)
H (0.4691, 0.1250, 0.8441)
H (0.8750, 0.7191, 0.3441)

No. 7
The following is a DFT calculation (PBE) of a relaxed structure of La3MnH.

**Relative energy among the computed polymorphs**: 0 meV/atom
**Symmetry**: Pm-3m, No. 221

a = 5.0574 Å, b = 5.0574 Å, c = 5.0574 Å
α = 90.00°, β = 90.00°, γ = 90.00°
Sites, in units of the cell vectors:
La (0.0000, 0.0000, 0.5000)
La (0.0000, 0.5000, 0.0000)
La (0.5000, 0.0000, 0.0000)
Mn (0.5000, 0.5000, 0.5000)
H (0.0000, 0.0000, 0.0000)

No. 8
The following is a DFT calculation (PBE) of a relaxed structure of LaMnNi2H8.

**Symmetry**: R-3, No. 148
**DFT total energy**: -4.564 eV/atom

a = 6.0977 Å, b = 6.0977 Å, c = 6.0977 Å
α = 43.31°, β = 43.31°, γ = 43.31°
Sites, in units of the cell vectors:
La (0.0000, 0.0000, 0.0000)
Mn (0.5000, 0.5000, 0.5000)
Ni (0.2061, 0.2061, 0.2061)
Ni (0.7939, 0.7939, 0.7939)
H (0.1439, 0.4114, 0.7956)
H (0.2044, 0.8561, 0.5886)
H (0.3041, 0.3041, 0.3041)
H (0.4114, 0.7956, 0.1439)
H (0.5886, 0.2044, 0.8561)
H (0.6959, 0.6959, 0.6959)
H (0.7956, 0.1439, 0.4114)
H (0.8561, 0.5886, 0.2044)

no.,total magnetization (μB per formula unit),DOS at the Fermi energy (states/eV/atom)
1,7.26,0.3236
2,3.26,0.2942
3,2.48,1.0211
4,0.00,1.6197
5,2.60,0.9757
6,2.68,0.6806
7,3.78,1.4829
8,2.89,0.2206